Record 1
Material: AlAgPO
Method: DFT, PBE-GGA
State: relaxed

a b c (Å): 2.9747 6.7908 6.5193
angles (deg): 90.00 90.00 90.00
Element x y z (fractional)
Ag1 0.5000 0.8572 0.0381
Ag2 0.5000 0.1428 0.5381
Al1 0.0000 0.6820 0.4736
Al2 0.0000 0.3180 0.9736
O1 0.5000 0.8067 0.4066
O2 0.5000 0.1933 0.9066
P1 0.0000 0.3593 0.3358
P2 0.0000 0.6407 0.8358

Output
The energy above the most stable polymorph in this dataset comes out at 0 meV per atom. Its space group is No. 26.



Record 2
Material: AlAgPO
Method: DFT, PBE-GGA
State: relaxed

a b c (Å): 4.1449 4.1449 8.3272
angles (deg): 90.00 90.00 90.00
Element x y z (fractional)
Ag1 0.0000 0.5000 0.0630
Ag2 0.5000 0.0000 0.9370
Al1 0.0000 0.0000 0.5000
Al2 0.5000 0.5000 0.5000
O1 0.0000 0.0000 0.0000
O2 0.5000 0.5000 0.0000
P1 0.5000 0.0000 0.3454
P2 0.0000 0.5000 0.6546

Output
The energy above the most stable polymorph in this dataset comes out at 901 meV per atom. Its space group is No. 129.



Record 3
Material: ScAlAg2O4
Method: DFT, PBE-GGA
State: relaxed

a b c (Å): 3.0331 3.0331 12.4568
angles (deg): 90.00 90.00 120.00
Element x y z (fractional)
Ag1 0.3333 0.6667 0.2565
Ag2 0.6667 0.3333 0.7435
Al1 0.0000 0.0000 0.5000
O1 0.3333 0.6667 0.0886
O2 0.3333 0.6667 0.4261
O3 0.6667 0.3333 0.5739
O4 0.6667 0.3333 0.9114
Sc1 0.0000 0.0000 0.0000

Output
The uncorrected energy is -6.4983 eV per atom. Its space group is No. 164. As for the total moment: 0.00 μB/f.u.



Record 4
Material: AlAgSeO
Method: DFT, PBE-GGA
State: relaxed

a b c (Å): 3.7930 7.2598 5.5143
angles (deg): 90.00 90.00 90.00
Element x y z (fractional)
Ag1 0.0000 0.3043 0.1086
Ag2 0.0000 0.6957 0.6086
Al1 0.5000 0.8844 0.0329
Al2 0.5000 0.1156 0.5329
O1 0.5000 0.0770 0.2205
O2 0.5000 0.9230 0.7205
Se1 0.0000 0.6883 0.1291
Se2 0.0000 0.3117 0.6291

Output
The energy above the most stable polymorph in this dataset comes out at 44 meV per atom. Its space group is No. 26.



What is the formula in the third record? ScAlAg2O4